(1)
Material: TiPbC3
Method: DFT, SCAN
State: PBEsol geometry

Formation energy from the elements in meV/atom: 1719
Symmetry: Pm-3m (221)

Lattice parameters (Å, degrees): 4.115 4.115 4.115 90.00 90.00 90.00
Atoms (fractional coordinates):
Pb: 0.500 0.500 0.500
Ti: 0.000 0.000 0.000
C: 0.000 0.000 0.500
C: 0.500 0.000 0.000
C: 0.000 0.500 0.000



(2)
Material: Sc2CuSi
Method: DFT, SCAN
State: PBEsol geometry

Energy relative to the elements, uncorrected in meV per atom: -602
Symmetry: Amm2 (38)

Lattice parameters (Å, degrees): 3.653 3.887 5.312 90.00 110.12 90.00
Atoms (fractional coordinates):
Sc: 0.103 0.000 0.206
Si: 0.821 0.000 0.642
Sc: 0.391 0.500 0.782
Cu: 0.675 0.500 0.350



(3)
Material: Sc3SnTe
Method: DFT, SCAN
State: PBEsol geometry

Energy relative to the elements, uncorrected in meV per atom: -18
Symmetry: Pm-3m (221)

Lattice parameters (Å, degrees): 5.273 5.273 5.273 90.00 90.00 90.00
Atoms (fractional coordinates):
Te: 0.500 0.500 0.500
Sc: 0.500 0.000 0.000
Sc: 0.000 0.500 0.000
Sc: 0.000 0.000 0.500
Sn: 0.000 0.000 0.000



(4)
Material: HfMg2MnCl
Method: DFT, SCAN
State: PBEsol geometry

Energy relative to the elements, uncorrected in meV per atom: 928
Symmetry: P4/mmm (123)

Lattice parameters (Å, degrees): 4.483 5.804 5.804 90.00 90.00 90.00
Atoms (fractional coordinates):
Hf: 0.000 0.000 0.000
Cl: 0.500 0.500 0.500
Mg: 0.000 0.000 0.500
Mg: 0.000 0.500 0.000
Mn: 0.500 0.000 0.000



(5)
Material: TcBRh3
Method: DFT, SCAN
State: PBEsol geometry

Formation energy from the elements in meV/atom: 2101
Symmetry: Pm-3m (221)

Lattice parameters (Å, degrees): 4.551 4.551 4.551 90.00 90.00 90.00
Atoms (fractional coordinates):
Tc: 0.000 0.000 0.000
Rh: 0.500 0.000 0.000
Rh: 0.000 0.000 0.500
B: 0.500 0.500 0.500
Rh: 0.000 0.500 0.000



(6)
Material: CdWSe
Method: DFT, SCAN
State: PBEsol geometry

Energy relative to the elements, uncorrected in meV per atom: 1182
Symmetry: F-43m (216)
Excess energy over the best structure of this formula in the dataset in meV/atom: 892.2

Lattice parameters (Å, degrees): 4.343 4.343 4.343 60.00 60.00 60.00
Atoms (fractional coordinates):
Cd: 0.500 0.500 0.500
Se: 0.250 0.250 0.250
W: 0.000 0.000 0.000



(7)
Material: FeRuPb2
Method: DFT, SCAN
State: PBEsol geometry

Formation energy from the elements in meV/atom: 671
Symmetry: P4/mmm (123)

Lattice parameters (Å, degrees): 3.217 4.698 4.698 90.00 90.00 90.00
Atoms (fractional coordinates):
Fe: 0.500 0.000 0.000
Pb: 0.000 0.500 0.000
Pb: 0.000 0.000 0.500
Ru: 0.500 0.500 0.500



(8)
Material: KCaRh2
Method: DFT, SCAN
State: PBEsol geometry

Formation energy from the elements in meV/atom: 319
Symmetry: Imm2 (44)
Excess energy over the best structure of this formula in the dataset in meV/atom: 274.0

Lattice parameters (Å, degrees): 3.000 5.162 6.178 114.69 104.05 90.00
Atoms (fractional coordinates):
Rh: 0.034 0.034 0.068
Ca: 0.476 0.476 0.952
Rh: 0.722 0.222 0.443
K: 0.268 0.768 0.536



(9)
Material: Mg3Mn
Method: DFT, SCAN
State: PBEsol geometry

Formation energy from the elements in meV/atom: 5
Symmetry: Fm-3m (225)

Lattice parameters (Å, degrees): 4.758 4.758 4.758 60.00 60.00 60.00
Atoms (fractional coordinates):
Mg: 0.250 0.250 0.250
Mn: 0.000 0.000 0.000
Mg: 0.500 0.500 0.500
Mg: 0.750 0.750 0.750



(10)
Material: HfCdAs3
Method: DFT, SCAN
State: PBEsol geometry

Formation energy from the elements in meV/atom: 219
Symmetry: Pm-3m (221)

Lattice parameters (Å, degrees): 5.072 5.072 5.072 90.00 90.00 90.00
Atoms (fractional coordinates):
As: 0.500 0.000 0.000
Cd: 0.500 0.500 0.500
Hf: 0.000 0.000 0.000
As: 0.000 0.000 0.500
As: 0.000 0.500 0.000



(11)
Material: BaIn2Br
Method: DFT, SCAN
State: PBEsol geometry

Energy relative to the elements, uncorrected in meV per atom: -252
Symmetry: Cmmm (65)
Excess energy over the best structure of this formula in the dataset in meV/atom: 542.7

Lattice parameters (Å, degrees): 3.697 3.697 9.835 90.00 90.00 109.61
Atoms (fractional coordinates):
Br: 0.500 0.500 0.000
In: 0.000 0.000 0.222
Ba: 0.500 0.500 0.500
In: 0.000 0.000 0.778



(12)
Material: BiS2NCl
Method: DFT, SCAN
State: PBEsol geometry

Energy relative to the elements, uncorrected in meV per atom: 1198
Symmetry: P4/mmm (123)

Lattice parameters (Å, degrees): 5.180 5.180 5.379 90.00 90.00 90.00
Atoms (fractional coordinates):
S: 0.500 0.000 0.000
Cl: 0.000 0.000 0.500
S: 0.000 0.500 0.000
Bi: 0.000 0.000 0.000
N: 0.500 0.500 0.500



Sequential magnetization output: 0.00 0.00 2.73 2.45 0.00 0.00 2.61 0.01 3.96 0.00 0.00 1.63 μB per cell